The following is a PBE calculation of a relaxed structure of CaZnAsO4, from Alexandria via LeMat-Bulk.

Calculated values
Total energy (eV/cell): -157.50
Uncorrected formation energy (eV/atom): -1.659
Density of states at the Fermi level (states/eV per atom): 0.2389

Structure (CIF):
```
data_CaZnAsO4
_chemical_formula_sum 'Ca4 Zn4 As4 O16'
_space_group_name_H-M_alt 'I m m a'
_space_group_IT_number 74
_space_group_name_Hall '-I 2b 2'
_cell_length_a 6.083
_cell_length_b 6.524
_cell_length_c 9.094
_cell_angle_alpha 90.00
_cell_angle_beta 90.00
_cell_angle_gamma 90.00
loop_
_atom_site_label
_atom_site_fract_x
_atom_site_fract_y
_atom_site_fract_z
Ca1 0.000 0.000 0.000
Zn1 0.250 0.250 0.250
As1 0.000 0.250 0.644
O1 0.000 0.034 0.258
O2 0.230 0.250 0.525
```